1.
TbPr10Er4 | Alexandria | PBE | optimized geometry; ΔH_f (0 K) = 0.42 eV/atom; space group = I4/m
1.0
9.8882 0.0000 4.4649
4.9441 7.1409 2.2325
2.0054 0.0000 8.7406
Tb Pr Er
1 10 4
Direct
0.0000 0.0000 0.0000
0.2500 0.5000 0.5000
0.7128 0.3473 0.8938
0.9399 0.1062 0.3473
0.3934 0.8938 0.6527
0.9539 0.6527 0.1062
0.2872 0.6527 0.1062
0.7500 0.5000 0.5000
0.0461 0.3473 0.8938
0.6066 0.1062 0.3473
0.0601 0.8938 0.6527
0.5533 0.6734 0.2201
0.7734 0.7799 0.6734
0.2266 0.2201 0.3266
0.4467 0.3266 0.7799



2.
Tb3Pr9Er2 | Alexandria | PBE | optimized geometry; ΔH_f (0 K) = 0.23 eV/atom; space group = P6_3/m
1.0
-3.2788 7.2628 -4.4223
-2.2829 -8.3972 -2.7076
-11.1116 0.2383 8.6298
Tb Pr Er
6 18 4
Direct
0.7495 0.8297 0.2500
0.1703 0.9198 0.2500
0.0802 0.2505 0.2500
0.9198 0.7495 0.7500
0.8297 0.0802 0.7500
0.2505 0.1703 0.7500
0.5187 0.5968 0.7500
0.7274 0.5950 0.4588
0.7274 0.5950 0.0412
0.4032 0.9219 0.7500
0.8677 0.2726 0.0412
0.8677 0.2726 0.4588
0.4050 0.1323 0.0412
0.4050 0.1323 0.4588
0.9219 0.5187 0.2500
0.0781 0.4813 0.7500
0.5950 0.8677 0.9588
0.5950 0.8677 0.5412
0.1323 0.7274 0.5412
0.1323 0.7274 0.9588
0.5968 0.0781 0.2500
0.2726 0.4050 0.5412
0.2726 0.4050 0.9588
0.4813 0.4032 0.2500
0.6667 0.3333 0.6429
0.6667 0.3333 0.8571
0.3333 0.6667 0.1429
0.3333 0.6667 0.3571



> What is the formula in the first record?

TbPr10Er4



> Among the records above, which one has the highest ΔH_f (0 K)?

TbPr10Er4



> ΔH_f (0 K) of number 2 (Tb3Pr9Er2)?

0.23 eV/atom



> The highest ΔH_f (0 K) belongs to which entry?

TbPr10Er4